(1)
# Pa2InNiN5 PBE relaxed
# * total energy: -8.33 eV per atom
# * space-group type: Cmc2_1, No. 36
# * calculated density: 10.37 Mg/m³
data_Pa2InNiN5
_chemical_formula_sum 'Pa4 In2 Ni2 N10'
_symmetry_space_group_name_H-M 'P 1'
_symmetry_Int_Tables_number 1
_symmetry_space_group_name_Hall 'P 1'
_cell_length_a 6.7805
_cell_length_b 6.7805
_cell_length_c 10.0174
_cell_angle_alpha 90.00
_cell_angle_beta 90.00
_cell_angle_gamma 150.63
loop_
_atom_site_label
_atom_site_type_symbol
_atom_site_fract_x
_atom_site_fract_y
_atom_site_fract_z
Pa1 Pa 0.0972 0.9028 0.5000
Pa2 Pa 0.1431 0.8569 0.1118
Pa3 Pa 0.8569 0.1431 0.6118
Pa4 Pa 0.9028 0.0972 0.0000
In1 In 0.2034 0.7966 0.8147
In2 In 0.7966 0.2034 0.3147
Ni1 Ni 0.4804 0.5196 0.2741
Ni2 Ni 0.5196 0.4804 0.7741
N1 N 0.0507 0.9493 0.8994
N2 N 0.2767 0.7233 0.5040
N3 N 0.3359 0.6641 0.1804
N4 N 0.3737 0.6263 0.8308
N5 N 0.4788 0.5212 0.5954
N6 N 0.5212 0.4788 0.0954
N7 N 0.6263 0.3737 0.3308
N8 N 0.6641 0.3359 0.6804
N9 N 0.7233 0.2767 0.0040
N10 N 0.9493 0.0507 0.3994

(2)
# InNi2PdN PBE relaxed
# * total energy: -5.59 eV per atom
# * space-group type: P4/mmm, No. 123
# * calculated density: 9.12 Mg/m³
data_InNi2PdN
_chemical_formula_sum 'In1 Ni2 Pd1 N1'
_symmetry_space_group_name_H-M 'P 1'
_symmetry_Int_Tables_number 1
_symmetry_space_group_name_Hall 'P 1'
_cell_length_a 3.8474
_cell_length_b 3.8474
_cell_length_c 4.3391
_cell_angle_alpha 90.00
_cell_angle_beta 90.00
_cell_angle_gamma 90.00
loop_
_atom_site_label
_atom_site_type_symbol
_atom_site_fract_x
_atom_site_fract_y
_atom_site_fract_z
In1 In 0.0000 0.0000 0.0000
Ni1 Ni 0.0000 0.5000 0.5000
Ni2 Ni 0.5000 0.0000 0.5000
Pd1 Pd 0.5000 0.5000 0.0000
N1 N 0.5000 0.5000 0.5000

(3)
# InReNi2N PBE relaxed
# * total energy: -6.92 eV per atom
# * space-group type: P4/mmm, No. 123
# * calculated density: 11.28 Mg/m³
data_InReNi2N
_chemical_formula_sum 'In1 Re1 Ni2 N1'
_symmetry_space_group_name_H-M 'P 1'
_symmetry_Int_Tables_number 1
_symmetry_space_group_name_Hall 'P 1'
_cell_length_a 4.0055
_cell_length_b 4.0055
_cell_length_c 3.9686
_cell_angle_alpha 90.00
_cell_angle_beta 90.00
_cell_angle_gamma 90.00
loop_
_atom_site_label
_atom_site_type_symbol
_atom_site_fract_x
_atom_site_fract_y
_atom_site_fract_z
In1 In 0.0000 0.0000 0.0000
Re1 Re 0.5000 0.5000 0.0000
Ni1 Ni 0.0000 0.5000 0.5000
Ni2 Ni 0.5000 0.0000 0.5000
N1 N 0.5000 0.5000 0.5000

(4)
# InNi2RhN PBE relaxed
# * total energy: -6.05 eV per atom
# * space-group type: P4/mmm, No. 123
# * calculated density: 9.25 Mg/m³
data_InNi2RhN
_chemical_formula_sum 'In1 Ni2 Rh1 N1'
_symmetry_space_group_name_H-M 'P 1'
_symmetry_Int_Tables_number 1
_symmetry_space_group_name_Hall 'P 1'
_cell_length_a 3.8532
_cell_length_b 3.8532
_cell_length_c 4.2199
_cell_angle_alpha 90.00
_cell_angle_beta 90.00
_cell_angle_gamma 90.00
loop_
_atom_site_label
_atom_site_type_symbol
_atom_site_fract_x
_atom_site_fract_y
_atom_site_fract_z
In1 In 0.0000 0.0000 0.0000
Ni1 Ni 0.0000 0.5000 0.5000
Ni2 Ni 0.5000 0.0000 0.5000
Rh1 Rh 0.5000 0.5000 0.0000
N1 N 0.5000 0.5000 0.5000

(5)
# InNiS2N PBE relaxed
# * total energy: -3.59 eV per atom
# * space-group type: P4/mmm, No. 123
# * polymorph energy (0 for the lowest one): 1033 meV/atom
# * calculated density: 4.09 Mg/m³
data_InNiS2N
_chemical_formula_sum 'In1 Ni1 S2 N1'
_symmetry_space_group_name_H-M 'P 1'
_symmetry_Int_Tables_number 1
_symmetry_space_group_name_Hall 'P 1'
_cell_length_a 5.0381
_cell_length_b 5.0381
_cell_length_c 4.0266
_cell_angle_alpha 90.00
_cell_angle_beta 90.00
_cell_angle_gamma 90.00
loop_
_atom_site_label
_atom_site_type_symbol
_atom_site_fract_x
_atom_site_fract_y
_atom_site_fract_z
In1 In 0.0000 0.0000 0.0000
Ni1 Ni 0.5000 0.5000 0.5000
S1 S 0.0000 0.5000 0.0000
S2 S 0.5000 0.0000 0.0000
N1 N 0.0000 0.0000 0.5000

(6)
# InNiS2N PBE relaxed
# * total energy: -4.62 eV per atom
# * space-group type: P4/mmm, No. 123
# * polymorph energy (0 for the lowest one): 0 meV/atom
# * calculated density: 5.04 Mg/m³
data_InNiS2N
_chemical_formula_sum 'In1 Ni1 S2 N1'
_symmetry_space_group_name_H-M 'P 1'
_symmetry_Int_Tables_number 1
_symmetry_space_group_name_Hall 'P 1'
_cell_length_a 4.8633
_cell_length_b 4.8633
_cell_length_c 3.5031
_cell_angle_alpha 90.00
_cell_angle_beta 90.00
_cell_angle_gamma 90.00
loop_
_atom_site_label
_atom_site_type_symbol
_atom_site_fract_x
_atom_site_fract_y
_atom_site_fract_z
In1 In 0.0000 0.0000 0.0000
Ni1 Ni 0.5000 0.5000 0.5000
S1 S 0.0000 0.5000 0.5000
S2 S 0.5000 0.0000 0.5000
N1 N 0.5000 0.5000 0.0000

(7)
# InNiSe2N PBE relaxed
# * total energy: -4.44 eV per atom
# * space-group type: P4/mmm, No. 123
# * polymorph energy (0 for the lowest one): 0 meV/atom
# * calculated density: 6.32 Mg/m³
data_InNiSe2N
_chemical_formula_sum 'In1 Ni1 Se2 N1'
_symmetry_space_group_name_H-M 'P 1'
_symmetry_Int_Tables_number 1
_symmetry_space_group_name_Hall 'P 1'
_cell_length_a 5.1237
_cell_length_b 5.1237
_cell_length_c 3.4595
_cell_angle_alpha 90.00
_cell_angle_beta 90.00
_cell_angle_gamma 90.00
loop_
_atom_site_label
_atom_site_type_symbol
_atom_site_fract_x
_atom_site_fract_y
_atom_site_fract_z
In1 In 0.0000 0.0000 0.0000
Ni1 Ni 0.5000 0.5000 0.5000
Se1 Se 0.0000 0.5000 0.5000
Se2 Se 0.5000 0.0000 0.5000
N1 N 0.5000 0.5000 0.0000

(8)
# InNiSe2N PBE relaxed
# * total energy: -3.50 eV per atom
# * space-group type: P4/mmm, No. 123
# * polymorph energy (0 for the lowest one): 932 meV/atom
# * calculated density: 4.90 Mg/m³
data_InNiSe2N
_chemical_formula_sum 'In1 Ni1 Se2 N1'
_symmetry_space_group_name_H-M 'P 1'
_symmetry_Int_Tables_number 1
_symmetry_space_group_name_Hall 'P 1'
_cell_length_a 5.3432
_cell_length_b 5.3432
_cell_length_c 4.0998
_cell_angle_alpha 90.00
_cell_angle_beta 90.00
_cell_angle_gamma 90.00
loop_
_atom_site_label
_atom_site_type_symbol
_atom_site_fract_x
_atom_site_fract_y
_atom_site_fract_z
In1 In 0.0000 0.0000 0.0000
Ni1 Ni 0.5000 0.5000 0.5000
Se1 Se 0.0000 0.5000 0.0000
Se2 Se 0.5000 0.0000 0.0000
N1 N 0.0000 0.0000 0.5000

(9)
# InSiNiN2 PBE relaxed
# * total energy: -5.39 eV per atom
# * space-group type: P4/mmm, No. 123
# * calculated density: 4.50 Mg/m³
data_InSiNiN2
_chemical_formula_sum 'In1 Si1 Ni1 N2'
_symmetry_space_group_name_H-M 'P 1'
_symmetry_Int_Tables_number 1
_symmetry_space_group_name_Hall 'P 1'
_cell_length_a 3.4568
_cell_length_b 3.4568
_cell_length_c 7.0977
_cell_angle_alpha 90.00
_cell_angle_beta 90.00
_cell_angle_gamma 90.00
loop_
_atom_site_label
_atom_site_type_symbol
_atom_site_fract_x
_atom_site_fract_y
_atom_site_fract_z
In1 In 0.0000 0.0000 0.0000
Si1 Si 0.0000 0.0000 0.5000
Ni1 Ni 0.5000 0.5000 0.0000
N1 N 0.0000 0.5000 0.5000
N2 N 0.5000 0.0000 0.5000

(10)
# Sr2InNiN PBE relaxed
# * total energy: -4.41 eV per atom
# * space-group type: P4/mmm, No. 123
# * calculated density: 5.20 Mg/m³
data_Sr2InNiN
_chemical_formula_sum 'Sr2 In1 Ni1 N1'
_symmetry_space_group_name_H-M 'P 1'
_symmetry_Int_Tables_number 1
_symmetry_space_group_name_Hall 'P 1'
_cell_length_a 5.6804
_cell_length_b 5.6804
_cell_length_c 3.5918
_cell_angle_alpha 90.00
_cell_angle_beta 90.00
_cell_angle_gamma 90.00
loop_
_atom_site_label
_atom_site_type_symbol
_atom_site_fract_x
_atom_site_fract_y
_atom_site_fract_z
Sr1 Sr 0.0000 0.5000 0.0000
Sr2 Sr 0.5000 0.0000 0.0000
In1 In 0.0000 0.0000 0.5000
Ni1 Ni 0.5000 0.5000 0.5000
N1 N 0.5000 0.5000 0.0000

(11)
# InTc2NiN PBE relaxed
# * total energy: -7.44 eV per atom
# * space-group type: P4/mmm, No. 123
# * calculated density: 9.54 Mg/m³
data_InTc2NiN
_chemical_formula_sum 'In1 Tc2 Ni1 N1'
_symmetry_space_group_name_H-M 'P 1'
_symmetry_Int_Tables_number 1
_symmetry_space_group_name_Hall 'P 1'
_cell_length_a 4.1130
_cell_length_b 4.1130
_cell_length_c 3.9477
_cell_angle_alpha 90.00
_cell_angle_beta 90.00
_cell_angle_gamma 90.00
loop_
_atom_site_label
_atom_site_type_symbol
_atom_site_fract_x
_atom_site_fract_y
_atom_site_fract_z
In1 In 0.0000 0.0000 0.0000
Tc1 Tc 0.0000 0.5000 0.5000
Tc2 Tc 0.5000 0.0000 0.5000
Ni1 Ni 0.5000 0.5000 0.0000
N1 N 0.5000 0.5000 0.5000

(12)
# InNiW2N PBE relaxed
# * total energy: -8.35 eV per atom
# * space-group type: P4/mmm, No. 123
# * calculated density: 13.12 Mg/m³
data_InNiW2N
_chemical_formula_sum 'In1 Ni1 W2 N1'
_symmetry_space_group_name_H-M 'P 1'
_symmetry_Int_Tables_number 1
_symmetry_space_group_name_Hall 'P 1'
_cell_length_a 4.1241
_cell_length_b 4.1241
_cell_length_c 4.1317
_cell_angle_alpha 90.00
_cell_angle_beta 90.00
_cell_angle_gamma 90.00
loop_
_atom_site_label
_atom_site_type_symbol
_atom_site_fract_x
_atom_site_fract_y
_atom_site_fract_z
In1 In 0.0000 0.0000 0.0000
Ni1 Ni 0.5000 0.5000 0.0000
W1 W 0.0000 0.5000 0.5000
W2 W 0.5000 0.0000 0.5000
N1 N 0.5000 0.5000 0.5000

(13)
# In2NO PBE relaxed
# * total energy: -4.37 eV per atom
# * space-group type: Fm-3m, No. 225
# * polymorph energy (0 for the lowest one): 759 meV/atom
# * calculated density: 7.96 Mg/m³
data_In2NO
_chemical_formula_sum 'In2 N1 O1'
_symmetry_space_group_name_H-M 'P 1'
_symmetry_Int_Tables_number 1
_symmetry_space_group_name_Hall 'P 1'
_cell_length_a 4.2473
_cell_length_b 4.2473
_cell_length_c 4.2473
_cell_angle_alpha 60.00
_cell_angle_beta 60.00
_cell_angle_gamma 60.00
loop_
_atom_site_label
_atom_site_type_symbol
_atom_site_fract_x
_atom_site_fract_y
_atom_site_fract_z
In1 In 0.2500 0.2500 0.2500
In2 In 0.7500 0.7500 0.7500
N1 N 0.0000 0.0000 0.0000
O1 O 0.5000 0.5000 0.5000